Entry 1:
Pr2Zn3HgPt4: relaxed, PBE. Values from VASP.

Cell and atoms, written as Quantum ESPRESSO input:
```
&SYSTEM
  ibrav = 0, nat = 10, ntyp = 4
/
ATOMIC_SPECIES
Pr 140.91 Pr.upf
Pt 195.08 Pt.upf
Zn 65.41 Zn.upf
Hg 200.59 Hg.upf
ATOMIC_POSITIONS crystal
Pr 0.000 0.500 0.761
Pt 0.500 0.000 0.659
Pr 0.500 0.000 0.239
Pt 0.000 0.000 0.000
Zn 0.000 0.000 0.500
Zn 0.500 0.000 0.873
Hg 0.500 0.500 0.500
Zn 0.000 0.500 0.127
Pt 0.000 0.500 0.341
Pt 0.500 0.500 0.000
CELL_PARAMETERS angstrom
4.147 0.000 0.000
0.000 4.147 0.000
0.000 0.000 11.657
```

Results
- ΔE_f: -669.6 kJ/mol of formula units

---

Entry 2:
Hf2MgInN: relaxed, PBE. Values from VASP.

Cell and atoms, written as Quantum ESPRESSO input:
```
&SYSTEM
  ibrav = 0, nat = 5, ntyp = 4
/
ATOMIC_SPECIES
Mg 24.30 Mg.upf
In 114.82 In.upf
Hf 178.49 Hf.upf
N 14.01 N.upf
ATOMIC_POSITIONS crystal
Mg 0.000 0.000 0.500
In 0.500 0.500 0.500
Hf 0.500 0.000 0.000
Hf 0.000 0.500 0.000
N 0.000 0.000 0.000
CELL_PARAMETERS angstrom
-2.995 -0.967 3.151
-1.827 -3.057 -2.674
2.707 -3.050 1.637
```

Results
- Formation energy from raw total energies: -0.62 eV/atom

---

Entry 3:
BaBrO: relaxed, PBE. Values from VASP.

Cell and atoms, written as Quantum ESPRESSO input:
```
&SYSTEM
  ibrav = 0, nat = 12, ntyp = 3
/
ATOMIC_SPECIES
Ba 137.33 Ba.upf
Br 79.90 Br.upf
O 16.00 O.upf
ATOMIC_POSITIONS crystal
Ba 0.558 0.750 0.090
Ba 0.558 0.250 0.090
Br 0.037 0.500 0.336
Ba 0.558 0.750 0.590
O 0.058 0.500 0.133
O 0.058 0.000 0.633
Br 0.409 0.500 0.835
O 0.028 0.000 0.037
Br 0.409 0.000 0.335
Ba 0.558 0.250 0.590
O 0.028 0.500 0.537
Br 0.037 0.000 0.836
CELL_PARAMETERS angstrom
-0.921 -2.410 2.949
-0.896 -5.721 -4.955
10.370 -1.933 0.356
```

Results
- Formation energy from raw total energies: -1.89 eV/atom

---

Number 1: M_tot 0.0 μB/f.u., V 20.05 Å³/atom. Number 2: M_tot 0.0 μB/f.u., V 17.43 Å³/atom. Number 3: M_tot 0.0 μB/f.u., V 26.15 Å³/atom.